Material: Ni2AgIrO6
Method: DFT, PBE+U
State: optimized geometry

* density of states at the Fermi level: 0.502 states/eV/atom
* calculated total energy: -53.0 eV per formula unit
* calculated volume: 337.3 Å³ per cell

Cell lengths 5.2391, 5.2391, 14.1893 Å; angles 90.00, 90.00, 120.00 degrees
Space group R3 (No. 146, hexagonal axes)
Unique sites:
Ni: 0.0000 0.0000 0.0000 (multiplicity 3)
Ni: 0.0000 0.0000 0.4904 (multiplicity 3)
Ag: 0.0000 0.0000 0.2040 (multiplicity 3)
Ir: 0.0000 0.0000 0.6904 (multiplicity 3)
O: 0.0002 0.3458 0.4220 (multiplicity 9)
O: 0.0318 0.7318 0.5997 (multiplicity 9)